## AcPm2WO8 (PBE with a Hubbard U)

Data for an optimized crystal structure of AcPm2WO8.

Energy (eV per atom): -7.81
Space-group type: No. 65

Unit cell a=5.1747 b=5.1731 c=7.2774 alpha=90.00 beta=90.00 gamma=90.37
Last column: nearest neighbours and their distance in Å.
Positions (direct):
Ac: 0.0000 0.0000 0.5000  6 O 2.34-2.57
Pm: 0.5000 0.5000 0.7635  6 O 2.32-2.40
Pm: 0.5000 0.5000 0.2365  6 O 2.32-2.40
W: 0.0000 0.0000 0.0000  6 O 1.96-1.97
O: 0.1814 0.8183 0.1977  1 W 1.96
O: 0.7301 0.7304 0.0000  1 W 1.97
O: 0.8186 0.1817 0.1977  1 W 1.96
O: 0.8186 0.1817 0.8023  1 W 1.96
O: 0.2699 0.2696 0.0000  1 W 1.97
O: 0.1814 0.8183 0.8023  1 W 1.96
O: 0.6783 0.6787 0.5000  2 Pm 2.32, 1 Ac 2.34
O: 0.3217 0.3213 0.5000  2 Pm 2.32, 1 Ac 2.34